A geometry-optimized CsPmGaSe3 structure. Source: Alexandria via LeMat-Bulk, functional PBE-GGA.

Geometry as POSCAR:
```
CsPmGaSe3
1.0
9.5213 0.0000 0.0000
0.0000 4.6761 0.0000
-3.4280 0.0000 9.6180
Cs Pm Ga Se
2 2 2 6
direct
0.2079 0.2500 0.2409
0.7921 0.7500 0.7591
0.3349 0.7500 0.8598
0.6651 0.2500 0.1402
0.1121 0.2500 0.5955
0.8879 0.7500 0.4045
0.1256 0.2500 0.8474
0.1870 0.7500 0.5409
0.4713 0.7500 0.1564
0.5287 0.2500 0.8436
0.8130 0.2500 0.4591
0.8744 0.7500 0.1526
```

Summary:
As for the space group: P2_1/m (11). The crystal system is monoclinic. As for the uncorrected formation energy: -1.26 eV per atom.

A geometry-optimized NaDyBi2Se4 structure. Source: Alexandria via LeMat-Bulk, functional PBE-GGA.

Geometry as POSCAR:
```
NaDyBi2Se4
1.0
7.6012 0.0000 0.0000
0.0000 4.0918 0.0000
-2.4260 0.0000 7.6246
Na Dy Bi Se
1 1 2 4
direct
0.0000 0.0000 0.0000
0.5000 0.5000 0.5000
0.0000 0.0000 0.5000
0.5000 0.5000 0.0000
0.1206 0.5000 0.2921
0.3961 0.0000 0.7143
0.6039 0.0000 0.2857
0.8794 0.5000 0.7079
```

Summary:
As for the space group: P2/m (10). The crystal system is monoclinic. As for the uncorrected formation energy: -0.85 eV per atom.

A geometry-optimized LiGeO2 structure. Source: Alexandria via LeMat-Bulk, functional PBE-GGA.

Geometry as POSCAR:
```
LiGeO2
1.0
4.6120 0.0000 0.0000
0.0000 4.6120 0.0000
0.0000 0.0000 9.3663
Li Ge O
4 4 8
direct
0.0000 0.0000 0.0000
0.0000 0.5000 0.2500
0.5000 0.0000 0.7500
0.5000 0.5000 0.5000
0.0000 0.0000 0.5000
0.0000 0.5000 0.7500
0.5000 0.0000 0.2500
0.5000 0.5000 0.0000
0.2280 0.2500 0.6250
0.2500 0.7280 0.8750
0.2500 0.7720 0.3750
0.2720 0.2500 0.1250
0.7280 0.7500 0.1250
0.7500 0.2280 0.3750
0.7500 0.2720 0.8750
0.7720 0.7500 0.6250
```

Summary:
As for the space group: I-42d (122). The crystal system is tetragonal. As for the uncorrected formation energy: -1.48 eV per atom.

A geometry-optimized CrCo2Rh structure. Source: Alexandria via LeMat-Bulk, functional PBE-GGA.

Geometry as POSCAR:
```
CrCo2Rh
1.0
3.6414 0.0000 0.0000
0.0000 3.6414 0.0000
0.0000 0.0000 7.2558
Cr Co Rh
2 4 2
direct
0.0000 0.0000 0.0000
0.5000 0.5000 0.5000
0.0000 0.0000 0.5000
0.0000 0.5000 0.2500
0.5000 0.0000 0.7500
0.5000 0.5000 0.0000
0.0000 0.5000 0.7500
0.5000 0.0000 0.2500
```

Summary:
As for the space group: I-4m2 (119). The crystal system is tetragonal. The formation energy is 0.006 eV per atom.

Listing M_tot for the structures above in their given order: 0.0 0.0 0.0 1.1 μB/f.u..